#i
# Ti4AlZn

A relaxed Ti4AlZn crystal (PBE-GGA, Alexandria).

abc: 7.488 4.323 7.477
angles: 90.00 109.59 90.00
Space group C2/m (No. 12)
Inequivalent atoms, fractional coordinates:
Ti (0.123, 0.000, 0.371) [4 per cell]
Ti (0.126, 0.500, 0.880) [4 per cell]
Al (0.000, 0.500, 0.500) [2 per cell]
Zn (0.000, 0.000, 0.000) [2 per cell]

D(E_F), states/eV per atom: 1.5023
Magnetization, μB per formula unit: 0.0
V, Å³/cell: 228.0


#ii
# Ti4AlZn

A relaxed Ti4AlZn crystal (PBE-GGA, Alexandria).

abc: 10.076 14.452 2.695
angles: 90.00 90.00 90.00
Space group Pbam (No. 55)
Inequivalent atoms, fractional coordinates:
Ti (0.002, 0.250, 0.000) [4 per cell]
Ti (0.123, 0.572, 0.000) [4 per cell]
Ti (0.124, 0.931, 0.000) [4 per cell]
Ti (0.249, 0.751, 0.000) [4 per cell]
Al (0.126, 0.400, 0.500) [4 per cell]
Zn (0.126, 0.102, 0.500) [4 per cell]

D(E_F), states/eV per atom: 1.1993
Magnetization, μB per formula unit: 0.0
V, Å³/cell: 392.5


Result of the stability comparison: #ii is the most stable of them.


#i
# Ti6Al2Zn

A relaxed Ti6Al2Zn crystal (PBE-GGA, Alexandria).

abc: 4.344 6.117 12.994
angles: 90.00 90.00 90.00
Space group Immm (No. 71)
Inequivalent atoms, fractional coordinates:
Ti (0.000, 0.246, 0.000) [4 per cell]
Ti (0.000, 0.251, 0.335) [8 per cell]
Al (0.000, 0.500, 0.167) [4 per cell]
Zn (0.000, 0.500, 0.500) [2 per cell]

D(E_F), states/eV per atom: 1.2784
Magnetization, μB per formula unit: 0.0
V, Å³/cell: 345.3


#ii
# Ti6Al2Zn

A relaxed Ti6Al2Zn crystal (PBE-GGA, Alexandria).

abc: 14.494 2.918 7.058
angles: 90.00 93.75 90.00
Space group C2/m (No. 12)
Inequivalent atoms, fractional coordinates:
Ti (0.056, 0.000, 0.328) [4 per cell]
Ti (0.163, 0.000, 0.990) [4 per cell]
Ti (0.224, 0.500, 0.326) [4 per cell]
Al (0.111, 0.500, 0.652) [4 per cell]
Zn (0.000, 0.500, 0.000) [2 per cell]

D(E_F), states/eV per atom: 1.1439
Magnetization, μB per formula unit: 0.0
V, Å³/cell: 297.9


Result of the stability comparison: #ii is the most stable of them.


#i
# Zr2TiAl2

A relaxed Zr2TiAl2 crystal (PBE-GGA, Alexandria).

abc: 8.259 8.259 2.957
angles: 90.00 90.00 90.00
Space group P4/mbm (No. 127)
Inequivalent atoms, fractional coordinates:
Zr (0.126, 0.374, 0.000) [4 per cell]
Ti (0.000, 0.000, 0.000) [2 per cell]
Al (0.173, 0.673, 0.500) [4 per cell]

D(E_F), states/eV per atom: 0.6242
Magnetization, μB per formula unit: 0.0
V, Å³/cell: 201.7


#ii
# Zr2TiAl2

A relaxed Zr2TiAl2 crystal (PBE-GGA, Alexandria).

abc: 7.216 7.216 3.793
angles: 90.00 90.00 90.00
Space group P4/mbm (No. 127)
Inequivalent atoms, fractional coordinates:
Zr (0.175, 0.325, 0.000) [4 per cell]
Ti (0.000, 0.000, 0.500) [2 per cell]
Al (0.126, 0.626, 0.500) [4 per cell]

D(E_F), states/eV per atom: 0.9937
Magnetization, μB per formula unit: 1.4
V, Å³/cell: 197.5


Result of the stability comparison: #ii is the most stable of them.